Record 1
A plane-wave DFT calculation with PBE was carried out for Pa2Ni5Ge4 after structural relaxation.

```
Pa2Ni5Ge4
1.0
-2.5675 4.1735 -2.6328
-4.9165 1.5594 1.3903
1.4224 6.5971 3.1944
Pa Ni Ge
2 5 4
Direct
0.8547 0.0000 0.2907
0.1453 0.0000 0.7093
0.5000 0.0000 0.0000
0.0000 0.5000 0.0000
0.5000 0.5000 0.0000
0.2500 0.5000 0.5000
0.7500 0.5000 0.5000
0.4863 0.2953 0.7321
0.5137 0.7047 0.2679
0.2184 0.2953 0.2679
0.7816 0.7047 0.7321
```

Output
symmetry: Fmmm (69)
crystal system: orthorhombic

Record 2
A plane-wave DFT calculation with PBE was carried out for PaNiGe after structural relaxation.

```
PaNiGe
1.0
-0.6328 -2.7564 -2.4893
4.0287 -0.1623 -0.8444
-1.5722 -2.3468 2.9983
Ni Ge Pa
1 1 1
Direct
0.2052 0.6667 0.3333
0.1396 0.0000 0.0000
0.6551 0.3333 0.6667
```

Output
symmetry: P3m1 (156)
crystal system: trigonal

Record 3
A plane-wave DFT calculation with PBE was carried out for Pa2Ni3Ge5 after structural relaxation.

```
Pa2Ni3Ge5
1.0
4.0399 0.0000 -0.6882
0.0000 7.3161 0.0000
-0.0792 0.0000 11.7372
Pa Ni Ge
4 6 10
Direct
0.4704 0.7866 0.9409
0.1728 0.7593 0.3455
0.8272 0.2593 0.6545
0.5296 0.2866 0.0591
0.7773 0.6834 0.5545
0.6053 0.5901 0.2105
0.0415 0.9366 0.0830
0.2227 0.1834 0.4455
0.9585 0.4366 0.9170
0.3947 0.0901 0.7895
0.4034 0.4316 0.8067
0.2716 0.4949 0.5432
0.7284 0.9949 0.4568
0.1211 0.1773 0.2423
0.3095 0.9072 0.6191
0.9510 0.0978 0.9021
0.6905 0.4072 0.3809
0.8789 0.6773 0.7577
0.0490 0.5978 0.0979
0.5966 0.9316 0.1933
```

Output
symmetry: Cmc2_1 (36)
crystal system: orthorhombic
offset from the most stable computed form: 54 meV/atom

Record 4
A plane-wave DFT calculation with PBE was carried out for Pa4NiGe3 after structural relaxation.

```
Pa4NiGe3
1.0
4.1203 0.0000 0.0000
0.0000 4.0344 0.0000
0.0000 0.0000 10.5816
Pa Ni Ge
4 1 3
Direct
0.5000 0.5000 0.3493
0.0000 0.5000 0.8690
0.0000 0.0000 0.1389
0.5000 0.0000 0.6404
0.5000 0.5000 0.0751
0.0000 0.5000 0.5909
0.0000 0.0000 0.4120
0.5000 0.0000 0.9243
```

Output
symmetry: Pmm2 (25)
crystal system: orthorhombic

Record 5
A plane-wave DFT calculation with PBE was carried out for PaNiGePd after structural relaxation.

```
PaNiGePd
1.0
4.6289 0.0000 0.0000
2.3145 4.0088 0.0000
2.3145 1.3363 3.7795
Ni Ge Pa Pd
1 1 1 1
Direct
0.2500 0.2500 0.2500
0.7500 0.7500 0.7500
0.0000 0.0000 0.0000
0.5000 0.5000 0.5000
```

Output
symmetry: F-43m (216)
crystal system: cubic

Record 6
A plane-wave DFT calculation with PBE was carried out for PmPaNiGe after structural relaxation.

```
PmPaNiGe
1.0
4.9786 0.0000 0.0000
2.4893 4.3116 0.0000
2.4893 1.4372 4.0651
Ni Ge Pa Pm
1 1 1 1
Direct
0.7500 0.7500 0.7500
0.2500 0.2500 0.2500
0.0000 0.0000 0.0000
0.5000 0.5000 0.5000
```

Output
symmetry: F-43m (216)
crystal system: cubic

E_tot (computed, eV for the cell shown): -70.54; -21.78; -127.37; -60.66; -26.37; -25.41
Formation energy (computed, eV per atom): -0.380; -0.627; -0.426; -0.380; -0.322; -0.190
D(E_F) (computed, states/eV/atom): 0.932; 1.064; 0.691; 1.583; 0.833; 1.831